Record 1
{
  "formula": "Pr2YF",
  "functional": "GGA-PBE",
  "state": "relaxed",
  "cell": [[3.841, 0.000, 0.000], [1.920, 3.326, 0.000], [1.920, 1.109, 8.760]],
  "species": ["Y", "Pr", "Pr", "F"],
  "fractional_positions": [[0.500, 0.500, 0.500], [0.277, 0.277, 0.169], [0.723, 0.723, 0.831], [0.000, 0.000, 0.000]],
  "formation_energy_uncorrected_mev_per_atom": -1132.4,
  "e_tot_ev_per_cell": -22.4,
  "m_tot_mub_per_fu": 0.0,
  "sg": "R-3m, No. 166"
}


Record 2
{
  "formula": "PmMg3Au2",
  "functional": "GGA-PBE",
  "state": "relaxed",
  "cell": [[4.346, 0.000, 0.000], [0.000, 7.303, 0.000], [0.000, 0.000, 8.466]],
  "species": ["Au", "Au", "Au", "Au", "Pm", "Pm", "Mg", "Mg", "Mg", "Mg", "Mg", "Mg"],
  "fractional_positions": [[0.000, 0.239, 0.627], [0.000, 0.739, 0.373], [0.500, 0.265, 0.117], [0.500, 0.765, 0.883], [0.500, 0.528, 0.585], [0.500, 0.028, 0.415], [0.500, 0.638, 0.181], [0.000, 0.468, 0.920], [0.000, 0.968, 0.080], [0.500, 0.138, 0.819], [0.000, 0.361, 0.299], [0.000, 0.861, 0.701]],
  "e_tot_ev_per_cell": -39.1,
  "m_tot_mub_per_fu": 0.0,
  "formation_energy_ev_per_atom": -0.5771,
  "sg": "Pmc2_1, No. 26"
}